(1)
LiLaAg2 | PBE | optimized geometry

a b c (Å): 5.067 3.368 5.442
angles (deg): 89.72 90.00 90.00
Positions (direct):
Ag: 0.000 0.123 0.940
Ag: 0.500 0.124 0.261
La: 0.000 0.622 0.439
Li: 0.500 0.631 0.861

Total moment (μB/f.u.): 0.000
E_form (meV/atom): -146
VASP energy (eV per atom): -3.2820
Space-group type: No. 6

---

(2)
Sr3Sc5O12 | PBE | optimized geometry

a b c (Å): 11.590 11.590 11.590
angles (deg): 109.47 109.47 109.47
Positions (direct):
Sr: 0.125 0.250 0.875
Sr: 0.750 0.375 0.125
Sr: 0.875 0.750 0.125
Sr: 0.375 0.750 0.625
Sr: 0.125 0.875 0.750
Sr: 0.250 0.125 0.375
Sr: 0.375 0.625 0.250
Sr: 0.250 0.625 0.875
Sr: 0.750 0.875 0.625
Sr: 0.625 0.375 0.750
Sr: 0.625 0.250 0.375
Sr: 0.875 0.125 0.250
Sc: 0.250 0.875 0.125
Sc: 0.750 0.125 0.875
Sc: 0.000 0.000 0.000
Sc: 0.000 0.500 0.000
Sc: 0.500 0.000 0.000
Sc: 0.500 0.500 0.000
Sc: 0.000 0.500 0.500
Sc: 0.875 0.625 0.750
Sc: 0.375 0.250 0.125
Sc: 0.625 0.750 0.875
Sc: 0.125 0.750 0.375
Sc: 0.500 0.000 0.500
Sc: 0.500 0.500 0.500
Sc: 0.875 0.250 0.625
Sc: 0.750 0.625 0.375
Sc: 0.375 0.125 0.750
Sc: 0.625 0.875 0.250
Sc: 0.250 0.375 0.625
Sc: 0.125 0.375 0.250
Sc: 0.000 0.000 0.500
O: 0.617 0.021 0.200
O: 0.479 0.678 0.095
O: 0.200 0.521 0.617
O: 0.322 0.800 0.417
O: 0.300 0.417 0.822
O: 0.479 0.800 0.883
O: 0.678 0.479 0.595
O: 0.822 0.905 0.021
O: 0.700 0.583 0.178
O: 0.417 0.117 0.595
O: 0.178 0.095 0.979
O: 0.595 0.617 0.417
O: 0.800 0.322 0.917
O: 0.883 0.583 0.905
O: 0.979 0.595 0.178
O: 0.905 0.083 0.883
O: 0.917 0.822 0.800
O: 0.905 0.822 0.521
O: 0.800 0.479 0.383
O: 0.583 0.700 0.678
O: 0.178 0.083 0.700
O: 0.095 0.178 0.479
O: 0.583 0.883 0.405
O: 0.117 0.700 0.521
O: 0.405 0.021 0.322
O: 0.383 0.405 0.083
O: 0.595 0.979 0.678
O: 0.083 0.178 0.200
O: 0.200 0.678 0.083
O: 0.322 0.521 0.405
O: 0.979 0.383 0.300
O: 0.883 0.300 0.479
O: 0.095 0.917 0.117
O: 0.521 0.322 0.905
O: 0.521 0.200 0.117
O: 0.417 0.300 0.322
O: 0.021 0.405 0.822
O: 0.405 0.383 0.583
O: 0.117 0.417 0.095
O: 0.300 0.883 0.979
O: 0.083 0.905 0.383
O: 0.021 0.617 0.700
O: 0.617 0.595 0.917
O: 0.700 0.117 0.021
O: 0.678 0.200 0.583
O: 0.822 0.917 0.300
O: 0.917 0.095 0.617
O: 0.383 0.979 0.800

Total moment (μB/f.u.): 3.114
Formation energy from raw total energies (eV per atom): -2.89
VASP energy (eV per atom): -7.6988
Space-group type: No. 230